# 1
First-principles (PBE-GGA) data for a relaxed structure of CaReTe2, as listed in Alexandria.

Output
The uncorrected formation energy comes out at 0.370 eV/f.u. The energy above the lowest structure with this stoichiometry comes out at 0.307 eV per atom. As for the density of states at the Fermi level: 3.14 states/eV per cell.

```
data_CaReTe2
_chemical_formula_sum 'Ca1 Re1 Te2'
_symmetry_space_group_name_H-M 'P 4 m m'
_symmetry_Int_Tables_number 99
_cell_length_a 3.744
_cell_length_b 3.744
_cell_length_c 7.033
_cell_angle_alpha 90.00
_cell_angle_beta 90.00
_cell_angle_gamma 90.00
loop_
_symmetry_equiv_pos_as_xyz
'x,y,z'
'-y,x,z'
'-x,-y,z'
'y,-x,z'
'-x,y,z'
'y,x,z'
'x,-y,z'
'-y,-x,z'
loop_
_atom_site_label
_atom_site_type_symbol
_atom_site_fract_x
_atom_site_fract_y
_atom_site_fract_z
Ca1 Ca 0.000 0.000 0.000
Re1 Re 0.500 0.500 0.265
Te1 Te 0.000 0.000 0.433
Te2 Te 0.500 0.500 0.831
```

***

# 2
First-principles (PBE-GGA) data for a relaxed structure of Tl2VBr5Cl, as listed in Alexandria.

Output
The uncorrected formation energy comes out at -7.677 eV/f.u. As for the density of states at the Fermi level: 12.04 states/eV per cell.

```
data_Tl2VBr5Cl
_chemical_formula_sum 'Tl4 V2 Br10 Cl2'
_symmetry_space_group_name_H-M 'I 4 m m'
_symmetry_Int_Tables_number 107
_symmetry_space_group_name_Hall 'I 4 -2'
_cell_length_a 7.488
_cell_length_b 7.488
_cell_length_c 9.876
_cell_angle_alpha 90.00
_cell_angle_beta 90.00
_cell_angle_gamma 90.00
loop_
_atom_site_label
_atom_site_type_symbol
_atom_site_fract_x
_atom_site_fract_y
_atom_site_fract_z
Tl1 Tl 0.000 0.500 0.000
V1 V 0.000 0.000 0.249
Br1 Br 0.000 0.000 0.000
Br2 Br 0.237 0.237 0.246
Cl1 Cl 0.000 0.000 0.479
```